No. 1
A geometry-optimized CeNd6Tl5 structure. Source: Alexandria via LeMat-Bulk, functional GGA-PBE.

a b c (Å): 6.2417 10.6439 7.9903
angles (deg): 48.24 80.38 75.47
Closest atoms and distances in Å follow each position.
Sites, in units of the cell vectors:
Nd1 0.7298 0.4603 0.6326  5 Tl 3.25-3.64, 2 Nd 3.44-3.64
Nd2 0.2702 0.5397 0.3674  5 Tl 3.25-3.64, 2 Nd 3.44-3.64
Nd3 0.7298 0.0929 0.3674  5 Tl 3.25-3.64, 2 Nd 3.44-3.64
Tl1 0.0000 0.2973 0.4054  6 Nd 3.25-3.40, 1 Ce 3.54
Nd4 0.2174 0.2796 0.0000  5 Tl 3.27-3.44, 1 Ce 3.57
Tl2 0.5000 0.1326 0.7348  1 Tl 3.16, 4 Nd 3.29-3.44, 2 Ce 3.50
Nd5 0.7826 0.7204 0.0000  5 Tl 3.27-3.44, 1 Ce 3.57
Tl3 0.5000 0.8674 0.2652  1 Tl 3.16, 4 Nd 3.29-3.44, 2 Ce 3.50
Nd6 0.2702 0.9071 0.6326  5 Tl 3.25-3.64, 2 Nd 3.44-3.64
Tl4 0.5000 0.5000 0.0000  6 Nd 3.27-3.29
Tl5 0.0000 0.7027 0.5946  6 Nd 3.25-3.40, 1 Ce 3.54
Ce1 0.0000 0.0000 0.0000  6 Tl 3.50-3.54, 6 Nd 3.57-3.72

**Offset from the most stable computed form**: 108 meV per atom

---

No. 2
A geometry-optimized Ce2Nd5Tl4 structure. Source: Alexandria via LeMat-Bulk, functional GGA-PBE.

a b c (Å): 3.5522 8.2977 13.6550
angles (deg): 120.08 97.47 90.00
Closest atoms and distances in Å follow each position.
Sites, in units of the cell vectors:
Nd1 0.8697 0.7678 0.7395  3 Ce 3.26-3.60, 3 Tl 3.39-3.61, 4 Nd 3.53-3.55
Nd2 0.1798 0.8866 0.3597  3 Tl 3.37-3.43, 3 Ce 3.39-3.54, 5 Nd 3.55-3.73
Ce1 0.7345 0.6418 0.4691  6 Nd 3.26-3.60, 4 Ce 3.37-3.55, 1 Tl 3.48
Ce2 0.2655 0.3582 0.5309  6 Nd 3.26-3.60, 4 Ce 3.37-3.55, 1 Tl 3.48
Tl1 0.5892 0.4926 0.1785  5 Nd 3.39-3.54, 6 Tl 3.43-3.55, 1 Ce 3.48
Nd3 0.1303 0.2322 0.2605  3 Ce 3.26-3.60, 3 Tl 3.39-3.61, 4 Nd 3.53-3.55
Tl2 0.4108 0.5074 0.8215  5 Nd 3.39-3.54, 6 Tl 3.43-3.55, 1 Ce 3.48
Tl3 0.0383 0.7315 0.0767  7 Tl 3.32-3.55, 4 Nd 3.37-3.61
Tl4 0.9617 0.2685 0.9233  7 Tl 3.32-3.55, 4 Nd 3.37-3.61
Nd4 0.8202 0.1134 0.6403  3 Tl 3.37-3.43, 3 Ce 3.39-3.54, 5 Nd 3.55-3.73
Nd5 0.5000 0.0000 0.0000  6 Tl 3.40-3.54, 6 Nd 3.53-3.55

**Calculated total energy**: -45.15 eV per cell

---

No. 3
A geometry-optimized CeNd5Tl5 structure. Source: Alexandria via LeMat-Bulk, functional GGA-PBE.

a b c (Å): 5.9965 9.2620 6.8064
angles (deg): 90.57 90.00 108.89
Closest atoms and distances in Å follow each position.
Sites, in units of the cell vectors:
Nd1 0.3215 0.6430 0.0079  5 Tl 3.13-3.47, 2 Nd 3.42
Tl1 0.1624 0.3247 0.2586  2 Tl 3.27-3.53, 7 Nd 3.28-3.55, 1 Ce 3.33
Nd2 0.3410 0.6819 0.5084  6 Tl 3.39-3.55, 2 Nd 3.42
Nd3 0.6590 0.3181 0.4916  6 Tl 3.39-3.55, 2 Nd 3.42
Tl2 0.8373 0.6745 0.2605  7 Nd 3.27-3.51, 2 Tl 3.27-3.53, 1 Ce 3.37
Tl3 0.5000 0.0000 0.0000  2 Ce 3.00, 2 Nd 3.13
Nd4 0.0000 0.0000 0.5000  4 Tl 3.27-3.30, 2 Ce 3.40
Nd5 0.6785 0.3570 0.9921  5 Tl 3.13-3.47, 2 Nd 3.42
Tl4 0.1627 0.3255 0.7395  7 Nd 3.27-3.51, 2 Tl 3.27-3.53, 1 Ce 3.37
Ce1 0.0000 0.0000 0.0000  4 Tl 3.00-3.33
Tl5 0.8376 0.6753 0.7414  2 Tl 3.27-3.53, 7 Nd 3.28-3.55, 1 Ce 3.33

**Calculated total energy**: -42.88 eV per cell

---

No. 4
A geometry-optimized Ce2NdTl structure. Source: Alexandria via LeMat-Bulk, functional GGA-PBE.

a b c (Å): 5.1360 4.7606 4.7606
angles (deg): 90.00 90.00 90.00
Closest atoms and distances in Å follow each position.
Sites, in units of the cell vectors:
Nd1 0.5000 0.5000 0.5000  4 Tl 3.37, 8 Ce 3.50
Tl1 0.5000 0.0000 0.0000  4 Nd 3.37, 8 Ce 3.50
Ce1 0.0000 0.5000 0.0000  4 Ce 3.37, 4 Nd 3.50, 4 Tl 3.50
Ce2 0.0000 0.0000 0.5000  4 Ce 3.37, 4 Nd 3.50, 4 Tl 3.50

**Offset from the most stable computed form**: 35 meV per atom